<i>
Crystalline Ba2Na2Au at its relaxed geometry, computed with GGA-PBE.

The structure in CIF format:
```
data_Ba2Na2Au
_symmetry_space_group_name_H-M 'P 4/m b m'
_symmetry_Int_Tables_number 127
_symmetry_space_group_name_Hall '-P 4 2ab'
_cell_length_a 8.750
_cell_length_b 8.750
_cell_length_c 6.306
_cell_angle_alpha 90.00
_cell_angle_beta 90.00
_cell_angle_gamma 90.00
loop_
_atom_site_label
_atom_site_type_symbol
_atom_site_fract_x
_atom_site_fract_y
_atom_site_fract_z
Ba1 Ba 0.172 0.328 0.000
Na1 Na 0.143 0.643 0.500
Au1 Au 0.000 0.000 0.000
```

Values from the calculation:
* total magnetic moment: 0.000 μB per atom
* DOS at the Fermi energy: 0.52 states/eV per atom

<ii>
Crystalline Ba2Na2Au at its relaxed geometry, computed with GGA-PBE.

The structure in CIF format:
```
data_Ba2Na2Au
_symmetry_space_group_name_H-M 'I 4/m m m'
_symmetry_Int_Tables_number 139
_symmetry_space_group_name_Hall '-I 4 2'
_cell_length_a 4.272
_cell_length_b 4.272
_cell_length_c 21.758
_cell_angle_alpha 90.00
_cell_angle_beta 90.00
_cell_angle_gamma 90.00
loop_
_atom_site_label
_atom_site_type_symbol
_atom_site_fract_x
_atom_site_fract_y
_atom_site_fract_z
Ba1 Ba 0.000 0.000 0.085
Na1 Na 0.000 0.500 0.250
Au1 Au 0.000 0.000 0.500
```

Values from the calculation:
* total magnetic moment: 0.000 μB per atom
* DOS at the Fermi energy: 0.38 states/eV per atom

<iii>
Crystalline Ba2Na2Au at its relaxed geometry, computed with GGA-PBE.

The structure in CIF format:
```
data_Ba2Na2Au
_symmetry_space_group_name_H-M 'P 4/m b m'
_symmetry_Int_Tables_number 127
_symmetry_space_group_name_Hall '-P 4 2ab'
_cell_length_a 8.109
_cell_length_b 8.109
_cell_length_c 5.796
_cell_angle_alpha 90.00
_cell_angle_beta 90.00
_cell_angle_gamma 90.00
loop_
_atom_site_label
_atom_site_type_symbol
_atom_site_fract_x
_atom_site_fract_y
_atom_site_fract_z
Ba1 Ba 0.185 0.315 0.000
Na1 Na 0.141 0.641 0.500
Au1 Au 0.000 0.000 0.500
```

Values from the calculation:
* total magnetic moment: 0.000 μB per atom
* DOS at the Fermi energy: 0.75 states/eV per atom

What should be chosen as the least stable of them? Choose <iii>.

<i>
Crystalline BaNa3Au at its relaxed geometry, computed with GGA-PBE.

The structure in CIF format:
```
data_BaNa3Au
_symmetry_space_group_name_H-M 'P 1'
_symmetry_Int_Tables_number 1
_symmetry_space_group_name_Hall 'P 1'
_cell_length_a 6.205
_cell_length_b 7.033
_cell_length_c 8.701
_cell_angle_alpha 90.14
_cell_angle_beta 90.01
_cell_angle_gamma 90.00
loop_
_atom_site_label
_atom_site_type_symbol
_atom_site_fract_x
_atom_site_fract_y
_atom_site_fract_z
Ba1 Ba 0.000 0.000 0.000
Ba2 Ba 0.234 0.500 0.499
Na1 Na 0.271 0.477 0.999
Na2 Na 0.490 0.048 0.292
Na3 Na 0.490 0.050 0.707
Na4 Na 0.744 0.549 0.207
Na5 Na 0.744 0.549 0.792
Na6 Na 0.963 0.977 0.500
Au1 Au 0.509 0.836 0.999
Au2 Au 0.725 0.336 0.499
```

Values from the calculation:
* total magnetic moment: 0.000 μB per atom
* DOS at the Fermi energy: 0.58 states/eV per atom

<ii>
Crystalline BaNa3Au at its relaxed geometry, computed with GGA-PBE.

The structure in CIF format:
```
data_BaNa3Au
_symmetry_space_group_name_H-M 'P m -3 m'
_symmetry_Int_Tables_number 221
_symmetry_space_group_name_Hall '-P 4 2 3'
_cell_length_a 7.168
_cell_length_b 7.168
_cell_length_c 7.168
_cell_angle_alpha 90.00
_cell_angle_beta 90.00
_cell_angle_gamma 90.00
loop_
_atom_site_label
_atom_site_type_symbol
_atom_site_fract_x
_atom_site_fract_y
_atom_site_fract_z
Ba1 Ba 0.000 0.000 0.000
Na1 Na 0.000 0.000 0.500
Au1 Au 0.500 0.500 0.500
```

Values from the calculation:
* total magnetic moment: 0.399 μB per atom
* DOS at the Fermi energy: 0.27 states/eV per atom

<iii>
Crystalline BaNa3Au at its relaxed geometry, computed with GGA-PBE.

The structure in CIF format:
```
data_BaNa3Au
_symmetry_space_group_name_H-M 'P m -3 m'
_symmetry_Int_Tables_number 221
_symmetry_space_group_name_Hall '-P 4 2 3'
_cell_length_a 5.751
_cell_length_b 5.751
_cell_length_c 5.751
_cell_angle_alpha 90.00
_cell_angle_beta 90.00
_cell_angle_gamma 90.00
loop_
_atom_site_label
_atom_site_type_symbol
_atom_site_fract_x
_atom_site_fract_y
_atom_site_fract_z
Ba1 Ba 0.000 0.000 0.000
Na1 Na 0.000 0.500 0.500
Au1 Au 0.500 0.500 0.500
```

Values from the calculation:
* total magnetic moment: 0.000 μB per atom
* DOS at the Fermi energy: 0.84 states/eV per atom

What should be chosen as the least stable of them? Choose <ii>.